1.
This record from Alexandria via LeMat-Bulk describes V2Ag2Mo after structural relaxation. The functional is PBE.

Cell lengths 3.6640, 3.6640, 12.5930 Å; angles 90.00, 90.00, 90.00 degrees
Space group I4/mmm (No. 139)
Inequivalent atoms, fractional coordinates:
1 V 0.0000 0.0000 0.0820 (multiplicity 4)
2 Ag 0.0000 0.5000 0.2500 (multiplicity 4)
3 Mo 0.0000 0.0000 0.5000 (multiplicity 2)

Results
* size of the total moment: 0.02 μB per formula unit
* VASP energy: -6.30 eV/atom
* polymorph energy (0 for the lowest one): 0.0484 eV/atom
* calculated volume: 169 Å³ per cell
* formation enthalpy at 0 K: 3.26 eV per formula unit

2.
This record from Alexandria via LeMat-Bulk describes Na2Ag4F9 after structural relaxation. The functional is PBE.

Cell lengths 5.7904, 5.8573, 15.9102 Å; angles 87.69, 89.97, 60.39 degrees
Space group P-1 (No. 2)
Inequivalent atoms, fractional coordinates:
1 Na 0.0399 0.0058 0.3495 (multiplicity 2)
2 Na 0.0462 0.9939 0.1506 (multiplicity 2)
3 Ag 0.2943 0.3300 0.6845 (multiplicity 2)
4 Ag 0.3182 0.3460 0.9807 (multiplicity 2)
5 Ag 0.3361 0.3459 0.4806 (multiplicity 2)
6 Ag 0.3761 0.3299 0.1846 (multiplicity 2)
7 F 0.0224 0.6332 0.3970 (multiplicity 2)
8 F 0.0735 0.2885 0.2470 (multiplicity 2)
9 F 0.0833 0.6188 0.0886 (multiplicity 2)
10 F 0.2772 0.0005 0.7500 (multiplicity 2)
11 F 0.2987 0.6188 0.5889 (multiplicity 2)
12 F 0.3436 0.6334 0.8967 (multiplicity 2)
13 F 0.3491 0.0290 0.0683 (multiplicity 2)
14 F 0.3619 0.7111 0.2531 (multiplicity 2)
15 F 0.3768 0.9705 0.4321 (multiplicity 2)

Results
* size of the total moment: 0.67 μB per formula unit
* formation energy from raw total energies: -1.54 eV per atom
* VASP energy: -3.60 eV/atom
* calculated volume: 469 Å³ per cell

3.
This record from Alexandria via LeMat-Bulk describes KRe3Tc after structural relaxation. The functional is PBE.

Cell lengths 4.4166, 4.4166, 4.4166 Å; angles 90.00, 90.00, 90.00 degrees
Space group Pm-3m (No. 221)
Inequivalent atoms, fractional coordinates:
1 K 0.0000 0.0000 0.0000 (multiplicity 1)
2 Re 0.0000 0.0000 0.5000 (multiplicity 3)
3 Tc 0.5000 0.5000 0.5000 (multiplicity 1)

Results
* size of the total moment: 0.00 μB per formula unit
* VASP energy: -5.95 eV/atom
* polymorph energy (0 for the lowest one): 1.7198 eV/atom
* calculated volume: 86 Å³ per cell
* formation enthalpy at 0 K: 19.08 eV per formula unit

4.
This record from Alexandria via LeMat-Bulk describes PrSbRuO after structural relaxation. The functional is PBE.

Cell lengths 4.2582, 4.2582, 8.8305 Å; angles 90.00, 90.00, 90.00 degrees
Space group P4/nmm (No. 129, origin choice 2)
Inequivalent atoms, fractional coordinates:
1 Pr 0.2500 0.2500 0.1265 (multiplicity 2)
2 Sb 0.2500 0.2500 0.6678 (multiplicity 2)
3 Ru 0.2500 0.7500 0.5000 (multiplicity 2)
4 O 0.2500 0.7500 0.0000 (multiplicity 2)

Results
* size of the total moment: 0.00 μB per formula unit
* formation energy from raw total energies: -1.63 eV per atom
* VASP energy: -7.41 eV/atom
* calculated volume: 160 Å³ per cell

5.
This record from Alexandria via LeMat-Bulk describes V4Ge4Mo after structural relaxation. The functional is PBE.

Cell lengths 7.4553, 7.4553, 4.9156 Å; angles 90.00, 90.00, 90.00 degrees
Space group I4/m (No. 87)
Inequivalent atoms, fractional coordinates:
1 V 0.1165 0.7908 0.0000 (multiplicity 8)
2 Ge 0.0576 0.6613 0.5000 (multiplicity 8)
3 Mo 0.0000 0.0000 0.5000 (multiplicity 2)

Results
* size of the total moment: 0.00 μB per formula unit
* VASP energy: -7.19 eV/atom
* calculated volume: 273 Å³ per cell
* formation enthalpy at 0 K: 1.11 eV per formula unit

6.
This record from Alexandria via LeMat-Bulk describes HfSi3S after structural relaxation. The functional is PBE.

Cell lengths 5.1136, 5.1136, 5.1136 Å; angles 90.00, 90.00, 90.00 degrees
Space group Pm-3m (No. 221)
Inequivalent atoms, fractional coordinates:
1 Hf 0.0000 0.0000 0.0000 (multiplicity 1)
2 Si 0.0000 0.0000 0.5000 (multiplicity 3)
3 S 0.5000 0.5000 0.5000 (multiplicity 1)

Results
* size of the total moment: 0.00 μB per formula unit
* formation energy from raw total energies: 1.14 eV per atom
* VASP energy: -4.93 eV/atom
* polymorph energy (0 for the lowest one): 0.5370 eV/atom
* calculated volume: 134 Å³ per cell

7.
This record from Alexandria via LeMat-Bulk describes Tb3GaB2Rh9 after structural relaxation. The functional is PBE.

Cell lengths 6.0788, 6.0788, 7.6024 Å; angles 90.00, 90.00, 120.00 degrees
Space group P-3m1 (No. 164)
Inequivalent atoms, fractional coordinates:
1 Tb 0.0000 0.0000 0.0000 (multiplicity 1)
2 Tb 0.3333 0.6667 0.6602 (multiplicity 2)
3 Ga 0.0000 0.0000 0.5000 (multiplicity 1)
4 B 0.3333 0.6667 0.1472 (multiplicity 2)
5 Rh 0.0000 0.5000 0.0000 (multiplicity 3)
6 Rh 0.1770 0.3539 0.3090 (multiplicity 6)

Results
* size of the total moment: 0.00 μB per formula unit
* VASP energy: -7.09 eV/atom
* calculated volume: 243 Å³ per cell
* formation enthalpy at 0 K: -9.86 eV per formula unit

8.
This record from Alexandria via LeMat-Bulk describes NaHoSc4S8 after structural relaxation. The functional is PBE.

Cell lengths 7.6893, 7.6893, 19.3088 Å; angles 90.00, 90.00, 120.00 degrees
Space group R3m (No. 160, hexagonal axes)
Inequivalent atoms, fractional coordinates:
1 Na 0.0000 0.0000 0.0000 (multiplicity 3)
2 Ho 0.0000 0.0000 0.6324 (multiplicity 3)
3 Sc 0.0000 0.0000 0.2555 (multiplicity 3)
4 Sc 0.1740 0.3480 0.4602 (multiplicity 9)
5 S 0.0000 0.0000 0.3866 (multiplicity 3)
6 S 0.0000 0.0000 0.8649 (multiplicity 3)
7 S 0.0261 0.5131 0.3875 (multiplicity 9)
8 S 0.1729 0.3458 0.2074 (multiplicity 9)

Results
* size of the total moment: 0.00 μB per formula unit
* formation energy from raw total energies: -1.82 eV per atom
* VASP energy: -6.41 eV/atom
* calculated volume: 989 Å³ per cell

Question: calculated volume of number 4 (PrSbRuO)?
Answer: 160 Å³ per cell